(1)
Computed, not measured: an optimized crystal structure of RbAlSe2 at the PBE level of DFT.

Output
space group: I-42d (122)

```
RbAlSe2
1.0
7.443 0.000 0.000
0.000 7.443 0.000
3.722 3.722 4.510
Se Rb Al
4 2 2
Cartesian
4.790 1.861 1.128
2.654 5.583 1.128
5.583 6.376 3.383
9.304 8.511 3.383
0.000 0.000 0.000
7.443 3.722 2.255
3.722 3.722 0.000
3.722 7.443 2.255
```

(2)
Computed, not measured: an optimized crystal structure of Li3Tm3InSe8 at the PBE level of DFT.

Output
space group: R-3m (166)

```
Li3Tm3InSe8
1.0
8.009 0.000 0.000
-4.004 6.936 -0.026
0.000 -4.603 6.451
Li Tm In Se
3 3 1 8
Cartesian
0.000 0.000 0.000
-2.002 3.468 -0.013
2.002 3.468 -0.013
4.004 -2.301 3.225
2.002 1.167 3.212
-2.002 1.167 3.212
0.000 -2.301 3.225
0.000 2.317 1.588
4.004 0.017 4.837
4.004 2.344 1.589
0.000 -0.011 4.836
2.026 5.771 1.576
1.978 -3.437 4.849
-2.026 5.771 1.576
6.031 -3.437 4.849
```

Number 1: E -32.20 eV/cell, mass density 3.59 Mg/m³, total magnetic moment 0.00 μB/cell. Number 2: E -70.39 eV/cell, mass density 5.92 Mg/m³, total magnetic moment 0.00 μB/cell.